#1
The following is a DFT calculation (PBE) of a relaxed LaPr6 crystal.

a = 3.6442 Å, b = 9.0882 Å, c = 9.0882 Å
α = 118.24°, β = 97.68°, γ = 97.68°
Fractional coordinates of all 7 atoms:
1 Pr 0.7360 0.1614 0.7324
2 Pr 0.0036 0.2676 0.4289
3 Pr 0.4253 0.4289 0.1614
4 Pr 0.5747 0.5711 0.8386
5 Pr 0.9964 0.7324 0.5711
6 Pr 0.2640 0.8386 0.2676
7 La 0.5000 0.0000 0.0000

Total magnetic moment (Bohr magnetons per cell): 0.0
Symmetry: R-3, No. 148

---

#2
The following is a DFT calculation (PBE) of a relaxed LaPr6 crystal.

a = 7.2335 Å, b = 7.2335 Å, c = 7.2335 Å
α = 109.47°, β = 109.47°, γ = 109.47°
Fractional coordinates of all 7 atoms:
1 Pr 0.2500 0.7500 0.5000
2 Pr 0.5000 0.2500 0.7500
3 Pr 0.5000 0.7500 0.2500
4 Pr 0.7500 0.2500 0.5000
5 Pr 0.7500 0.5000 0.2500
6 Pr 0.2500 0.5000 0.7500
7 La 0.0000 0.0000 0.0000

Total magnetic moment (Bohr magnetons per cell): 0.0
Symmetry: Im-3m, No. 229

---

The structure with the least stability is #2.

---

#1
The following is a DFT calculation (PBE) of a relaxed La7Pr2 crystal.

a = 3.6806 Å, b = 10.2122 Å, c = 10.2122 Å
α = 120.00°, β = 90.00°, γ = 90.00°
Fractional coordinates of all 9 atoms:
1 La 0.5000 0.3526 0.3526
2 La 0.5000 0.0000 0.0000
3 La 0.5000 0.6474 0.0000
4 La 0.5000 0.0000 0.6474
5 La 0.0000 0.6857 0.6857
6 La 0.0000 0.3143 0.0000
7 La 0.0000 0.0000 0.3143
8 Pr 0.0000 0.6667 0.3333
9 Pr 0.0000 0.3333 0.6667

Total magnetic moment (Bohr magnetons per cell): 0.0
Symmetry: P-62m, No. 189

---

#2
The following is a DFT calculation (PBE) of a relaxed La7Pr2 crystal.

a = 6.4500 Å, b = 6.4500 Å, c = 9.0780 Å
α = 90.00°, β = 90.00°, γ = 120.00°
Fractional coordinates of all 9 atoms:
1 La 0.0000 0.0000 0.0000
2 La 0.3336 0.3336 0.3345
3 La 0.3336 0.0000 0.6655
4 La 0.0000 0.6664 0.3345
5 La 0.6664 0.0000 0.3345
6 La 0.0000 0.3336 0.6655
7 La 0.6664 0.6664 0.6655
8 Pr 0.6667 0.3333 0.0000
9 Pr 0.3333 0.6667 0.0000

Total magnetic moment (Bohr magnetons per cell): 0.0
Symmetry: P-31m, No. 162

---

The structure with the least stability is #1.

---

#1
The following is a DFT calculation (PBE) of a relaxed LaPr5 crystal.

a = 3.7796 Å, b = 6.1305 Å, c = 9.9132 Å
α = 108.01°, β = 90.00°, γ = 90.00°
Fractional coordinates of all 6 atoms:
1 Pr 0.0000 0.8420 0.6841
2 Pr 0.5000 0.6766 0.3532
3 Pr 0.5000 0.3234 0.6468
4 Pr 0.5000 0.0000 0.0000
5 Pr 0.0000 0.1580 0.3159
6 La 0.0000 0.5000 0.0000

Total magnetic moment (Bohr magnetons per cell): 0.0
Symmetry: Cmmm, No. 65

---

#2
The following is a DFT calculation (PBE) of a relaxed LaPr5 crystal.

a = 5.2648 Å, b = 5.2540 Å, c = 8.3322 Å
α = 108.38°, β = 90.00°, γ = 90.00°
Fractional coordinates of all 6 atoms:
1 Pr 0.5000 0.1667 0.3334
2 Pr 0.0000 0.6674 0.3348
3 Pr 0.5000 0.5000 0.0000
4 Pr 0.5000 0.8333 0.6666
5 Pr 0.0000 0.3326 0.6652
6 La 0.0000 0.0000 0.0000

Total magnetic moment (Bohr magnetons per cell): 0.0
Symmetry: Cmmm, No. 65

---

The structure with the least stability is #1.

---

#1
The following is a DFT calculation (PBE) of a relaxed La3Pr7 crystal.

a = 5.2586 Å, b = 7.4383 Å, c = 11.1638 Å
α = 119.86°, β = 103.62°, γ = 90.00°
Fractional coordinates of all 10 atoms:
1 Pr 0.5998 0.8994 0.1997
2 Pr 0.2000 0.2990 0.4000
3 Pr 0.6004 0.3995 0.2008
4 Pr 0.3996 0.6005 0.7992
5 Pr 0.4002 0.1006 0.8003
6 Pr 0.8000 0.7010 0.6000
7 Pr 0.0000 0.5000 0.0000
8 La 0.0000 0.0000 0.0000
9 La 0.1995 0.7999 0.3990
10 La 0.8005 0.2001 0.6010

Total magnetic moment (Bohr magnetons per cell): 0.0
Symmetry: C2/m, No. 12

---

#2
The following is a DFT calculation (PBE) of a relaxed La3Pr7 crystal.

a = 6.6287 Å, b = 11.2837 Å, c = 11.2837 Å
α = 120.00°, β = 90.00°, γ = 90.00°
Fractional coordinates of all 20 atoms:
1 Pr 0.7330 0.5272 0.4728
2 Pr 0.2330 0.4728 0.5272
3 Pr 0.4755 0.3333 0.6667
4 Pr 0.2330 0.4728 0.9456
5 Pr 0.8816 0.2328 0.1164
6 Pr 0.7330 0.5272 0.0544
7 Pr 0.9755 0.6667 0.3333
8 Pr 0.8816 0.8836 0.7672
9 Pr 0.8816 0.8836 0.1164
10 Pr 0.3816 0.1164 0.2328
11 Pr 0.3816 0.7672 0.8836
12 Pr 0.3816 0.1164 0.8836
13 Pr 0.7330 0.9456 0.4728
14 Pr 0.2330 0.0544 0.5272
15 La 0.3628 0.7890 0.2110
16 La 0.3628 0.7890 0.5780
17 La 0.8628 0.2110 0.4220
18 La 0.8628 0.2110 0.7890
19 La 0.8628 0.5780 0.7890
20 La 0.3628 0.4220 0.2110

Total magnetic moment (Bohr magnetons per cell): 0.0
Symmetry: P6_3mc, No. 186

---

The structure with the least stability is #2.

---

#1
The following is a DFT calculation (PBE) of a relaxed La2Pr13 crystal.

a = 7.3079 Å, b = 7.3079 Å, c = 12.7916 Å
α = 73.40°, β = 73.40°, γ = 60.00°
Fractional coordinates of all 15 atoms:
1 Pr 0.5000 0.5000 0.5000
2 Pr 0.2114 0.7089 0.8683
3 Pr 0.7886 0.7886 0.1317
4 Pr 0.9546 0.9546 0.6332
5 Pr 0.2114 0.2114 0.8683
6 Pr 0.0454 0.0454 0.3668
7 Pr 0.0454 0.5423 0.3668
8 Pr 0.7886 0.2911 0.1317
9 Pr 0.7089 0.2114 0.8683
10 Pr 0.5423 0.0454 0.3668
11 Pr 0.2911 0.7886 0.1317
12 Pr 0.9546 0.4577 0.6332
13 Pr 0.4577 0.9546 0.6332
14 La 0.7056 0.7056 0.8833
15 La 0.2944 0.2944 0.1167

Total magnetic moment (Bohr magnetons per cell): 0.0
Symmetry: R-3m, No. 166

---

#2
The following is a DFT calculation (PBE) of a relaxed La2Pr13 crystal.

a = 6.9017 Å, b = 9.3007 Å, c = 9.2997 Å
α = 113.10°, β = 82.55°, γ = 97.49°
Fractional coordinates of all 15 atoms:
1 Pr 0.7011 0.6356 0.0354
2 Pr 0.0000 0.0000 0.0000
3 Pr 0.2034 0.7970 0.1955
4 Pr 0.0995 0.5683 0.7659
5 Pr 0.4020 0.5989 0.3972
6 Pr 0.2983 0.0315 0.6297
7 Pr 0.7966 0.2030 0.8045
8 Pr 0.5000 0.1658 0.1677
9 Pr 0.7017 0.9685 0.3703
10 Pr 0.5980 0.4011 0.6028
11 Pr 0.2989 0.3644 0.9646
12 Pr 0.9005 0.4317 0.2341
13 Pr 0.5000 0.8342 0.8323
14 La 0.1002 0.2335 0.4344
15 La 0.8998 0.7665 0.5656

Total magnetic moment (Bohr magnetons per cell): 0.0
Symmetry: P-1, No. 2

---

The structure with the least stability is #1.

---

#1
The following is a DFT calculation (PBE) of a relaxed La5Pr7 crystal.

a = 3.7452 Å, b = 9.9296 Å, c = 12.5998 Å
α = 73.70°, β = 81.45°, γ = 79.13°
Fractional coordinates of all 12 atoms:
1 Pr 0.3600 0.0300 0.2500
2 Pr 0.0269 0.6967 0.2495
3 Pr 0.5000 0.5000 0.5000
4 Pr 0.6665 0.6659 0.0011
5 Pr 0.6400 0.9700 0.7500
6 Pr 0.3335 0.3341 0.9989
7 Pr 0.9731 0.3033 0.7505
8 La 0.6934 0.3624 0.2507
9 La 0.0000 0.0000 0.0000
10 La 0.1668 0.1656 0.5008
11 La 0.8332 0.8344 0.4992
12 La 0.3066 0.6376 0.7493

Total magnetic moment (Bohr magnetons per cell): 0.0
Symmetry: C2/m, No. 12

---

#2
The following is a DFT calculation (PBE) of a relaxed La5Pr7 crystal.

a = 6.0936 Å, b = 5.8113 Å, c = 15.1966 Å
α = 102.81°, β = 90.00°, γ = 121.62°
Fractional coordinates of all 12 atoms:
1 La 0.3736 0.7472 0.2009
2 La 0.6264 0.2528 0.7991
3 La 0.1276 0.2551 0.4370
4 La 0.8724 0.7449 0.5630
5 La 0.0000 0.0000 0.0000
6 Pr 0.0350 0.0701 0.2149
7 Pr 0.6777 0.3555 0.0839
8 Pr 0.2487 0.4975 0.6720
9 Pr 0.7513 0.5025 0.3280
10 Pr 0.5000 0.0000 0.5000
11 Pr 0.3223 0.6445 0.9161
12 Pr 0.9650 0.9299 0.7851

Total magnetic moment (Bohr magnetons per cell): 0.0
Symmetry: C2/m, No. 12

---

The structure with the least stability is #2.

---

#1
The following is a DFT calculation (PBE) of a relaxed La2Pr crystal.

a = 3.7216 Å, b = 3.7216 Å, c = 15.8081 Å
α = 90.00°, β = 90.00°, γ = 90.00°
Fractional coordinates of all 6 atoms:
1 La 0.5000 0.5000 0.3332
2 La 0.0000 0.0000 0.5000
3 La 0.5000 0.5000 0.0000
4 La 0.5000 0.5000 0.6668
5 Pr 0.0000 0.0000 0.1661
6 Pr 0.0000 0.0000 0.8339

Total magnetic moment (Bohr magnetons per cell): 0.0
Symmetry: P4/mmm, No. 123

---

#2
The following is a DFT calculation (PBE) of a relaxed La2Pr crystal.

a = 6.7938 Å, b = 6.7938 Å, c = 6.7938 Å
α = 60.00°, β = 60.00°, γ = 60.00°
Fractional coordinates of all 6 atoms:
1 Pr 0.2500 0.2500 0.2500
2 Pr 0.0000 0.0000 0.0000
3 La 0.1250 0.6250 0.6250
4 La 0.6250 0.6250 0.6250
5 La 0.6250 0.6250 0.1250
6 La 0.6250 0.1250 0.6250

Total magnetic moment (Bohr magnetons per cell): 0.0
Symmetry: Fd-3m, No. 227

---

The structure with the least stability is #2.

---

#1
The following is a DFT calculation (PBE) of a relaxed La2Pr crystal.

a = 3.7252 Å, b = 3.7252 Å, c = 8.3252 Å
α = 102.93°, β = 102.93°, γ = 90.00°
Fractional coordinates of all 3 atoms:
1 La 0.6670 0.6670 0.3339
2 La 0.3330 0.3330 0.6661
3 Pr 0.0000 0.0000 0.0000

Total magnetic moment (Bohr magnetons per cell): 0.0
Symmetry: I4/mmm, No. 139

---

#2
The following is a DFT calculation (PBE) of a relaxed La2Pr crystal.

a = 4.4117 Å, b = 4.4117 Å, c = 6.4241 Å
α = 110.16°, β = 110.16°, γ = 90.02°
Fractional coordinates of all 3 atoms:
1 Pr 0.5000 0.5000 0.0000
2 La 0.1631 0.1631 0.3264
3 La 0.8369 0.8369 0.6736

Total magnetic moment (Bohr magnetons per cell): 0.0
Symmetry: C2/m, No. 12

---

The structure with the least stability is #2.

---

#1
The following is a DFT calculation (PBE) of a relaxed La5Pr4 crystal.

a = 3.7258 Å, b = 9.8626 Å, c = 9.8626 Å
α = 106.60°, β = 79.06°, γ = 79.06°
Fractional coordinates of all 9 atoms:
1 Pr 0.3333 0.6666 0.6670
2 Pr 0.6667 0.3330 0.3334
3 Pr 0.6667 0.6668 0.9996
4 Pr 0.3333 0.0004 0.3332
5 La 0.0000 0.3330 0.6670
6 La 0.6659 0.0007 0.6674
7 La 0.0000 0.0003 0.9997
8 La 0.3341 0.3326 0.9993
9 La 0.0000 0.6667 0.3333

Total magnetic moment (Bohr magnetons per cell): 0.0
Symmetry: C2/m, No. 12

---

#2
The following is a DFT calculation (PBE) of a relaxed La5Pr4 crystal.

a = 3.7457 Å, b = 9.5369 Å, c = 9.5369 Å
α = 87.79°, β = 78.67°, γ = 78.67°
Fractional coordinates of all 9 atoms:
1 Pr 0.0000 0.6645 0.3355
2 Pr 0.0000 0.3355 0.6645
3 Pr 0.3355 0.6645 0.6645
4 Pr 0.6645 0.3355 0.3355
5 La 0.6666 0.0000 0.6668
6 La 0.3334 0.0000 0.3332
7 La 0.0000 0.0000 0.0000
8 La 0.3334 0.3332 0.0000
9 La 0.6666 0.6668 0.0000

Total magnetic moment (Bohr magnetons per cell): 0.0
Symmetry: I4/mmm, No. 139

---

The structure with the least stability is #2.

---

#1
The following is a DFT calculation (PBE) of a relaxed La4Pr5 crystal.

a = 5.2895 Å, b = 8.3175 Å, c = 8.3175 Å
α = 84.20°, β = 71.46°, γ = 71.46°
Fractional coordinates of all 9 atoms:
1 La 0.6668 0.6664 0.0000
2 La 0.6668 0.0000 0.6664
3 La 0.3332 0.3336 0.0000
4 La 0.3332 0.0000 0.3336
5 Pr 0.0000 0.3337 0.6663
6 Pr 0.0000 0.0000 0.0000
7 Pr 0.3337 0.6663 0.6663
8 Pr 0.0000 0.6663 0.3337
9 Pr 0.6663 0.3337 0.3337

Total magnetic moment (Bohr magnetons per cell): 0.0
Symmetry: I4/mmm, No. 139

---

#2
The following is a DFT calculation (PBE) of a relaxed La4Pr5 crystal.

a = 3.8135 Å, b = 9.5177 Å, c = 9.5177 Å
α = 92.39°, β = 78.48°, γ = 78.48°
Fractional coordinates of all 9 atoms:
1 Pr 0.0000 0.2940 0.7060
2 Pr 0.0000 0.0393 0.9607
3 Pr 0.2945 0.3725 0.0392
4 Pr 0.0000 0.6667 0.3333
5 Pr 0.7055 0.9608 0.6275
6 La 0.3572 0.9972 0.2885
7 La 0.3572 0.6218 0.6639
8 La 0.6428 0.7115 0.0028
9 La 0.6428 0.3361 0.3782

Total magnetic moment (Bohr magnetons per cell): 0.0
Symmetry: Immm, No. 71

---

The structure with the least stability is #2.

---

#1
The following is a DFT calculation (PBE) of a relaxed La3PrPt crystal.

a = 6.4048 Å, b = 6.9587 Å, c = 8.1058 Å
α = 90.01°, β = 89.99°, γ = 89.98°
Fractional coordinates of all 10 atoms:
1 Pt 0.1781 0.6782 0.7008
2 Pt 0.6782 0.6746 0.2008
3 La 0.4178 0.3249 0.2009
4 La 0.9177 0.0279 0.7007
5 La 0.9241 0.4870 0.9473
6 La 0.9240 0.4870 0.4543
7 La 0.4241 0.8658 0.9542
8 La 0.4240 0.8658 0.4473
9 Pr 0.4341 0.3230 0.7009
10 Pr 0.9342 0.0298 0.2007

Total magnetic moment (Bohr magnetons per cell): 0.0
Symmetry: Pmn2_1, No. 31

---

#2
The following is a DFT calculation (PBE) of a relaxed La3PrPt crystal.

a = 3.9385 Å, b = 6.5212 Å, c = 13.4316 Å
α = 83.92°, β = 81.57°, γ = 72.42°
Fractional coordinates of all 10 atoms:
1 La 0.7694 0.7011 0.7602
2 La 0.4437 0.9654 0.1473
3 La 0.4208 0.6333 0.5251
4 La 0.9875 0.1178 0.9073
5 La 0.7891 0.0384 0.3833
6 La 0.1094 0.1672 0.6140
7 Pr 0.1012 0.5056 0.2920
8 Pr 0.2244 0.5486 0.0026
9 Pt 0.7587 0.3366 0.1461
10 Pt 0.4567 0.3230 0.7636

Total magnetic moment (Bohr magnetons per cell): 0.0
Symmetry: Cm, No. 8

---

The structure with the least stability is #1.

---

#1
The following is a DFT calculation (PBE) of a relaxed LaPrPtRh crystal.

a = 5.1112 Å, b = 5.1112 Å, c = 5.1112 Å
α = 60.00°, β = 60.00°, γ = 60.00°
Fractional coordinates of all 4 atoms:
1 Pt 0.7500 0.7500 0.7500
2 Pr 0.0000 0.0000 0.0000
3 La 0.5000 0.5000 0.5000
4 Rh 0.2500 0.2500 0.2500

Total magnetic moment (Bohr magnetons per cell): 0.0
Symmetry: F-43m, No. 216

---

#2
The following is a DFT calculation (PBE) of a relaxed LaPrPtRh crystal.

a = 3.9844 Å, b = 4.4097 Å, c = 5.9084 Å
α = 90.00°, β = 109.71°, γ = 90.00°
Fractional coordinates of all 4 atoms:
1 Pt 0.5868 0.5000 0.1735
2 Pr 0.1406 0.0000 0.2812
3 La 0.8643 0.5000 0.7286
4 Rh 0.4084 0.0000 0.8167

Total magnetic moment (Bohr magnetons per cell): 0.0
Symmetry: Amm2, No. 38

---

The structure with the least stability is #1.